First-principles (PBE-GGA) data for a relaxed structure of Zr2VGe2, as listed in the Alexandria database.

Cell lengths 3.646, 15.219, 7.150 Å; angles 90.00, 90.00, 90.00 degrees
Space group Cmc2_1 (No. 36)
Symmetry-distinct sites (fractional):
Zr: 0.000 0.036 0.000 x4
Zr: 0.000 0.198 0.608 x4
V: 0.000 0.405 0.847 x4
Ge: 0.000 0.185 0.222 x4
Ge: 0.000 0.436 0.205 x4

Output
Calculated formation energy ... -426 meV per atom
Size of the total moment ... 0.000 μB per cell
Density of states at the Fermi level ... 0.70 states/eV/atom
Excess energy over the best structure of this formula in the dataset ... 0.227 eV per atom
DFT total energy ... -150.322 eV/cell

First-principles (PBE-GGA) data for a relaxed structure of Zr3VGe, as listed in the Alexandria database.

Cell lengths 4.832, 4.832, 4.832 Å; angles 90.00, 90.00, 90.00 degrees
Space group Pm-3m (No. 221)
Symmetry-distinct sites (fractional):
Zr: 0.000 0.000 0.500 x3
V: 0.000 0.000 0.000 x1
Ge: 0.500 0.500 0.500 x1

Output
Calculated formation energy ... 566 meV per atom
Size of the total moment ... 0.000 μB per cell
Density of states at the Fermi level ... 1.40 states/eV/atom
Excess energy over the best structure of this formula in the dataset ... 0.000 eV per atom
DFT total energy ... -36.549 eV/cell